(1)
! SbHW3 | the Alexandria database | PBE-GGA | optimized geometry; values from VASP
&SYSTEM
  ibrav = 0, nat = 5, ntyp = 3
/
ATOMIC_SPECIES
Sb 121.76 Sb.upf
W 183.84 W.upf
H 1.01 H.upf
CELL_PARAMETERS angstrom
-1.593 4.241 1.944
-4.211 -2.191 1.330
2.008 -1.230 4.330
ATOMIC_POSITIONS crystal
Sb 0.000 0.000 0.000
W 0.000 0.500 0.000
W 0.000 0.000 0.500
W 0.500 0.000 0.000
H 0.500 0.500 0.500
! Offset from the most stable computed form, meV/atom: 2732.3
! SG: Pm-3m, No. 221

(2)
! Sb2HW | the Alexandria database | PBE-GGA | optimized geometry; values from VASP
&SYSTEM
  ibrav = 0, nat = 8, ntyp = 3
/
ATOMIC_SPECIES
Sb 121.76 Sb.upf
W 183.84 W.upf
H 1.01 H.upf
CELL_PARAMETERS angstrom
6.428 0.000 0.000
0.000 6.428 0.000
3.214 3.214 3.326
ATOMIC_POSITIONS crystal
Sb 0.547 0.125 0.250
Sb 0.203 0.625 0.250
Sb 0.375 0.453 0.750
Sb 0.875 0.797 0.750
W 0.000 0.000 0.000
W 0.750 0.250 0.500
H 0.500 0.500 0.000
H 0.250 0.750 0.500
! Offset from the most stable computed form, meV/atom: 0.0
! SG: I-42d, No. 122

(3)
! YSb2HW | the Alexandria database | PBE-GGA | optimized geometry; values from VASP
&SYSTEM
  ibrav = 0, nat = 5, ntyp = 4
/
ATOMIC_SPECIES
Y 88.91 Y.upf
Sb 121.76 Sb.upf
W 183.84 W.upf
H 1.01 H.upf
CELL_PARAMETERS angstrom
-4.709 2.838 -1.735
-2.911 -2.298 4.143
1.397 4.417 3.432
ATOMIC_POSITIONS crystal
Y 0.000 0.000 0.000
Sb 0.000 0.000 0.500
Sb 0.500 0.000 0.000
W 0.000 0.500 0.000
H 0.500 0.500 0.500
! SG: P4/mmm, No. 123
! Calculated total energy, eV/atom: -4.333